## RbGa2TcF (PBEsol)

Data for crystalline RbGa2TcF at its relaxed geometry.

Output
* formation energy (no corrections): 0.415 eV/atom
* VASP energy: -3.76 eV/atom

POSCAR file:
```
RbGa2TcF
1.0
-3.386 2.258 -0.273
-0.789 -1.761 -4.777
-2.762 -3.913 1.899
Ga Tc Rb F
2 1 1 1
Cartesian
-1.381 -1.956 0.949
-0.395 -0.881 -2.388
-1.693 1.129 -0.136
-3.469 -1.708 -1.575
0.000 0.000 0.000
```



## GaReF3 (PBEsol)

Data for crystalline GaReF3 at its relaxed geometry.

Output
* formation energy (no corrections): -0.727 eV/atom
* VASP energy: -5.22 eV/atom

POSCAR file:
```
GaReF3
1.0
-0.266 -1.963 3.642
3.985 -1.102 -0.303
1.112 3.481 1.957
Re Ga F
1 1 3
Cartesian
0.000 0.000 0.000
2.415 0.208 2.648
1.992 -0.551 -0.152
0.556 1.741 0.979
-0.133 -0.981 1.821
```



## GaReF2 (PBEsol)

Data for crystalline GaReF2 at its relaxed geometry.

Output
* formation energy (no corrections): 0.160 eV/atom
* VASP energy: -4.97 eV/atom

POSCAR file:
```
GaReF2
1.0
-3.477 1.497 -1.562
-3.476 -2.140 0.321
-2.976 1.292 2.497
Re Ga F
1 1 2
Cartesian
-4.965 0.325 0.628
0.000 0.000 0.000
-2.482 0.162 0.314
-7.447 0.487 0.942
```



## Ga2RhF (PBEsol)

Data for crystalline Ga2RhF at its relaxed geometry.

Output
* formation energy (no corrections): -0.602 eV/atom
* VASP energy: -4.79 eV/atom

POSCAR file:
```
Ga2RhF
1.0
4.252 0.000 0.000
2.126 3.683 0.000
2.126 1.228 3.472
Rh Ga F
1 2 1
Cartesian
4.252 2.455 1.736
2.126 1.228 0.868
6.378 3.683 2.604
0.000 0.000 0.000
```



## GaRuF3 (PBEsol)

Data for crystalline GaRuF3 at its relaxed geometry.

Output
* formation energy (no corrections): -1.030 eV/atom
* VASP energy: -4.89 eV/atom

POSCAR file:
```
GaRuF3
1.0
-2.131 -0.536 3.510
2.485 -3.149 1.028
2.536 2.635 1.942
Ru Ga F
1 1 3
Cartesian
0.000 0.000 0.000
1.445 -0.525 3.240
1.243 -1.574 0.514
1.268 1.318 0.971
-1.065 -0.268 1.755
```



## Ga2SF (PBEsol)

Data for crystalline Ga2SF at its relaxed geometry.

Output
* formation energy (no corrections): -0.730 eV/atom
* VASP energy: -3.98 eV/atom

POSCAR file:
```
Ga2SF
1.0
-1.544 -3.763 -1.800
2.038 -1.776 -3.532
2.305 -3.780 0.430
S Ga F
1 2 1
Cartesian
1.400 -4.659 -2.451
0.700 -2.330 -1.226
2.100 -6.989 -3.677
0.000 0.000 0.000
```



## GaSF2 (PBEsol)

Data for crystalline GaSF2 at its relaxed geometry.

Output
* formation energy (no corrections): -0.940 eV/atom
* VASP energy: -3.83 eV/atom

POSCAR file:
```
GaSF2
1.0
-3.806 -4.534 -0.606
3.037 1.989 -4.739
4.338 -3.327 -2.353
S Ga F
2 2 4
Cartesian
0.266 -3.930 -1.479
1.652 -0.971 -3.109
0.000 0.000 0.000
1.917 -4.901 -4.589
3.127 -4.114 -3.471
1.224 -6.381 -3.774
0.574 -3.723 -4.967
2.743 -5.387 -6.143
```



## GaSbF2 (PBEsol)

Data for crystalline GaSbF2 at its relaxed geometry.

Output
* formation energy (no corrections): -1.063 eV/atom
* energy above the lowest structure with this stoichiometry: 279 meV/atom
* VASP energy: -4.00 eV/atom

POSCAR file:
```
GaSbF2
1.0
-5.618 -2.337 1.077
3.078 -1.530 -4.990
1.867 -1.924 5.568
Sb Ga F
2 2 4
Cartesian
1.535 -2.792 1.950
0.000 0.000 0.000
-2.208 -2.999 -0.296
-1.875 -2.130 3.322
-1.714 -2.428 1.451
-1.435 -3.662 4.360
2.416 -2.273 -1.196
-0.611 -3.217 -1.306
```



## GaSbF2 (PBEsol)

Data for crystalline GaSbF2 at its relaxed geometry.

Output
* formation energy (no corrections): -1.218 eV/atom
* energy above the lowest structure with this stoichiometry: 124 meV/atom
* VASP energy: -4.16 eV/atom

POSCAR file:
```
GaSbF2
1.0
-2.669 0.352 -1.399
-2.542 -1.018 1.305
-2.719 6.933 3.641
Sb Ga F
1 1 2
Cartesian
-3.965 3.133 1.773
0.000 0.000 0.000
-5.470 1.216 0.872
-2.461 5.050 2.674
```



## GaSbF2 (PBEsol)

Data for crystalline GaSbF2 at its relaxed geometry.

Output
* formation energy (no corrections): -1.342 eV/atom
* energy above the lowest structure with this stoichiometry: 0 meV/atom
* VASP energy: -4.28 eV/atom

POSCAR file:
```
GaSbF2
1.0
-0.361 -3.281 -0.400
0.873 -1.431 -2.872
7.267 -2.683 1.621
Sb Ga F
1 1 2
Cartesian
0.000 0.000 0.000
3.889 -3.697 -0.825
2.544 -5.031 -2.495
5.234 -2.364 0.844
```



## GaSb2TeF (PBEsol)

Data for crystalline GaSb2TeF at its relaxed geometry.

Output
* formation energy (no corrections): 0.304 eV/atom
* VASP energy: -3.28 eV/atom

POSCAR file:
```
GaSb2TeF
1.0
-4.095 -2.615 -1.938
3.110 -2.305 -3.461
0.876 -3.862 3.359
Sb Te Ga F
2 1 1 1
Cartesian
0.438 -1.931 1.680
1.555 -1.153 -1.730
-2.048 -1.307 -0.969
0.000 0.000 0.000
-0.055 -4.391 -1.020
```



## ScGaSe2F (PBEsol)

Data for crystalline ScGaSe2F at its relaxed geometry.

Output
* formation energy (no corrections): -0.227 eV/atom
* VASP energy: -4.14 eV/atom

POSCAR file:
```
ScGaSe2F
1.0
4.717 0.000 0.000
0.000 4.717 0.000
0.000 0.000 5.232
Sc Ga Se F
1 1 2 1
Cartesian
0.000 0.000 2.616
0.000 0.000 0.000
0.000 2.358 0.000
2.358 0.000 0.000
2.358 2.358 2.616
```